No. 1
First-principles (meta-GGA SCAN) data for a crystal of MnZn8 relaxed with PBEsol, as listed in the Alexandria database.

Results
E ... -0.51766 hartree per atom
V ... 122 Å³ per cell

a = 5.9744 Å, b = 5.9744 Å, c = 5.9744 Å
α = 95.82°, β = 95.82°, γ = 142.88°
Closest atoms and distances in Å follow each position.
Atoms (fractional coordinates):
Mn  0.0000  0.0000  0.0000  12 Zn 2.66-2.68
Zn  0.0000  0.3326  0.3326  1 Mn 2.66, 11 Zn 2.67-2.69
Zn  0.0000  0.6674  0.6674  1 Mn 2.66, 11 Zn 2.67-2.69
Zn  0.3326  0.0000  0.3326  1 Mn 2.66, 11 Zn 2.67-2.69
Zn  0.3339  0.3339  0.6677  10 Zn 2.66-2.69, 2 Mn 2.68
Zn  0.3339  0.6661  0.0000  10 Zn 2.66-2.69, 2 Mn 2.68
Zn  0.6661  0.3339  0.0000  10 Zn 2.66-2.69, 2 Mn 2.68
Zn  0.6661  0.6661  0.3323  10 Zn 2.66-2.69, 2 Mn 2.68
Zn  0.6674  0.0000  0.6674  1 Mn 2.66, 11 Zn 2.67-2.69

No. 2
First-principles (meta-GGA SCAN) data for a crystal of SrMg2OsPt relaxed with PBEsol, as listed in the Alexandria database.

Results
E ... -1.19683 hartree per atom
V ... 135 Å³ per cell

a = 5.2510 Å, b = 5.2510 Å, c = 4.9094 Å
α = 90.00°, β = 90.00°, γ = 90.00°
Closest atoms and distances in Å follow each position.
Atoms (fractional coordinates):
Sr  0.0000  0.0000  0.0000  2 Pt 2.45, 4 Mg 2.63
Mg  0.0000  0.5000  0.0000  2 Sr 2.63
Mg  0.5000  0.0000  0.0000  2 Sr 2.63
Os  0.5000  0.5000  0.5000  8 Mg 3.59, 4 Pt 3.71
Pt  0.0000  0.0000  0.5000  2 Sr 2.45

No. 3
First-principles (meta-GGA SCAN) data for a crystal of Re2HgIrRh relaxed with PBEsol, as listed in the Alexandria database.

Results
E ... -2.23349 hartree per atom
V ... 100 Å³ per cell

a = 4.5748 Å, b = 4.5748 Å, c = 4.7678 Å
α = 90.00°, β = 90.00°, γ = 90.00°
Closest atoms and distances in Å follow each position.
Atoms (fractional coordinates):
Re  0.0000  0.5000  0.0000  2 Rh 2.29
Re  0.5000  0.0000  0.0000  2 Rh 2.29
Hg  0.0000  0.0000  0.5000  4 Ir 3.23, 8 Re 3.30
Ir  0.5000  0.5000  0.5000  2 Rh 2.38
Rh  0.5000  0.5000  0.0000  4 Re 2.29, 2 Ir 2.38

No. 4
First-principles (meta-GGA SCAN) data for a crystal of KFeCo relaxed with PBEsol, as listed in the Alexandria database.

Results
Distance to the lowest polymorph of the same formula ... 4.823 eV/f.u.
E ... -0.45006 hartree per atom
V ... 255 Å³ per cell

a = 6.3400 Å, b = 6.3400 Å, c = 6.3400 Å
α = 90.00°, β = 90.00°, γ = 90.00°
Closest atoms and distances in Å follow each position.
Atoms (fractional coordinates):
K  0.0000  0.0000  0.0000  4 Fe 2.75, 4 Co 2.75
K  0.0000  0.5000  0.5000  4 Fe 2.75, 4 Co 2.75
K  0.5000  0.0000  0.5000  4 Fe 2.75, 4 Co 2.75
K  0.5000  0.5000  0.0000  4 Fe 2.75, 4 Co 2.75
Fe  0.2500  0.2500  0.2500  4 K 2.75
Fe  0.2500  0.7500  0.7500  4 K 2.75
Fe  0.7500  0.2500  0.7500  4 K 2.75
Fe  0.7500  0.7500  0.2500  4 K 2.75
Co  0.2500  0.2500  0.7500  4 K 2.75
Co  0.2500  0.7500  0.2500  4 K 2.75
Co  0.7500  0.2500  0.2500  4 K 2.75
Co  0.7500  0.7500  0.7500  4 K 2.75

No. 5
First-principles (meta-GGA SCAN) data for a crystal of MnBeIr2 relaxed with PBEsol, as listed in the Alexandria database.

Results
E ... -1.53461 hartree per atom
V ... 46 Å³ per cell

a = 2.7133 Å, b = 2.7133 Å, c = 6.2814 Å
α = 90.00°, β = 90.00°, γ = 90.00°
Closest atoms and distances in Å follow each position.
Atoms (fractional coordinates):
Mn  0.0000  0.0000  0.0000  8 Ir 2.57, 4 Mn 2.71
Be  0.0000  0.0000  0.5000  8 Ir 2.39
Ir  0.5000  0.5000  0.2721  4 Be 2.39, 4 Mn 2.57
Ir  0.5000  0.5000  0.7279  4 Be 2.39, 4 Mn 2.57

No. 6
First-principles (meta-GGA SCAN) data for a crystal of ZrTe2Br relaxed with PBEsol, as listed in the Alexandria database.

Results
Raw formation energy ... -0.464 eV per atom
Distance to the lowest polymorph of the same formula ... 1.433 eV/f.u.
E ... -1.16234 hartree per atom
V ... 203 Å³ per cell

a = 10.4045 Å, b = 3.6466 Å, c = 5.5069 Å
α = 90.00°, β = 103.90°, γ = 90.00°
Closest atoms and distances in Å follow each position.
Atoms (fractional coordinates):
Zr  0.0000  0.0000  0.0000  4 Te 2.93
Zr  0.5000  0.5000  0.0000  4 Te 2.93
Te  0.2195  0.5000  0.2068  2 Zr 2.93, 1 Br 3.10, 2 Te 3.10
Te  0.2805  0.0000  0.7932  2 Zr 2.93, 1 Br 3.10, 2 Te 3.10
Te  0.7195  0.0000  0.2068  2 Zr 2.93, 1 Br 3.10, 2 Te 3.10
Te  0.7805  0.5000  0.7932  2 Zr 2.93, 1 Br 3.10, 2 Te 3.10
Br  0.0000  0.5000  0.5000  2 Te 3.10, 4 Zr 3.30
Br  0.5000  0.0000  0.5000  2 Te 3.10, 4 Zr 3.30